Record 1
Here is crystalline RbCu3SnSe4 at its relaxed geometry from OQMD via LeMat-Bulk. Energies are from GGA-PBE.

Properties
ΔE to the lowest computed polymorph = 0 meV per atom
total energy = -3.747 eV per atom
density = 5133 kg/m3

a b c (Å): 5.9132 7.8142 10.2553
angles (deg): 90.00 103.99 90.00
With the nearest neighbours (Å) after each atom.
Space group P2_1/m (No. 11)
Inequivalent atoms, fractional coordinates:
Rb (0.1950, 0.2500, 0.3783)  9 Se 3.54-3.93
Cu (0.3110, 0.5718, 0.0196)  3 Se 2.41-2.53, 2 Cu 2.60-2.62
Cu (0.4108, 0.7500, 0.2402)  3 Se 2.41-2.52, 2 Cu 2.60
Sn (0.1266, 0.2500, 0.7834)  4 Se 2.52-2.63, 1 Cu 2.80
Se (0.0304, 0.2500, 0.0169)  2 Cu 2.41, 1 Sn 2.59
Se (0.2130, 0.7500, 0.4197)  1 Cu 2.41, 1 Sn 2.52
Se (0.3850, 0.5250, 0.7892)  3 Cu 2.44-2.53, 1 Sn 2.63



Record 2
Here is crystalline AlCoBi at its relaxed geometry from OQMD via LeMat-Bulk. Energies are from GGA-PBE.

Properties
total energy = -4.954 eV per atom
density = 8700 kg/m3

a b c (Å): 6.0835 6.0835 6.0835
angles (deg): 90.00 90.00 90.00
With the nearest neighbours (Å) after each atom.
Space group F-43m (No. 216)
Inequivalent atoms, fractional coordinates:
Al (0.0000, 0.0000, 0.0000)  4 Co 2.63
Co (0.2500, 0.2500, 0.2500)  4 Bi 2.63, 4 Al 2.63
Bi (0.0000, 0.0000, 0.5000)  4 Co 2.63